## Sr2FeP (PBEsol)

Data for a relaxed Sr2FeP crystal.

DFT formation energy in meV per atom: 261
Symmetry: P4mm (99)

abc: 4.2160 4.2160 6.1901
angles: 90.00 90.00 90.00
Fractional coordinates of all 4 atoms:
Fe 0.0000 0.0000 0.4631
P 0.5000 0.5000 0.7989
Sr 0.0000 0.0000 0.9199
Sr 0.5000 0.5000 0.3180

## SrFeP2 (PBEsol)

Data for a relaxed SrFeP2 crystal.

DFT formation energy in meV per atom: -596
Energy above the most stable polymorph in this dataset in meV/atom: 18
Symmetry: I4_1/amd (141)

abc: 4.7758 4.7758 7.7749
angles: 107.89 107.89 90.00
Fractional coordinates of all 8 atoms:
Sr 0.0000 0.0000 0.0000
Sr 0.2500 0.7500 0.5000
Fe 0.5000 0.5000 0.0000
Fe 0.7500 0.2500 0.5000
P 0.6250 0.3750 0.7500
P 0.1250 0.3750 0.7500
P 0.6250 0.8750 0.2500
P 0.6250 0.3750 0.2500

## SrFeP (PBEsol)

Data for a relaxed SrFeP crystal.

DFT formation energy in meV per atom: -505
Symmetry: P-6m2 (187)

abc: 3.8999 3.8999 4.5162
angles: 90.00 90.00 120.00
Fractional coordinates of all 3 atoms:
Fe 0.0000 0.0000 0.0000
P 0.6667 0.3333 0.0000
Sr 0.3333 0.6667 0.5000

## Sr2FeP (PBEsol)

Data for a relaxed Sr2FeP crystal.

DFT formation energy in meV per atom: -310
Symmetry: Amm2 (38)

abc: 4.1111 4.5350 5.8362
angles: 112.86 90.00 90.00
Fractional coordinates of all 4 atoms:
Fe 0.0000 0.7889 0.5778
P 0.5000 0.7067 0.4134
Sr 0.0000 0.1088 0.2176
Sr 0.5000 0.3959 0.7918

## SrFeP2 (PBEsol)

Data for a relaxed SrFeP2 crystal.

DFT formation energy in meV per atom: -615
Energy above the most stable polymorph in this dataset in meV/atom: 0
Symmetry: Cm (8)

abc: 3.6856 3.6856 6.0828
angles: 74.01 74.01 63.47
Fractional coordinates of all 4 atoms:
Fe 0.6782 0.6782 0.9626
P 0.0466 0.0466 0.8826
P 0.2730 0.2730 0.1391
Sr 0.5022 0.5022 0.5157

## SrFeP2 (PBEsol)

Data for a relaxed SrFeP2 crystal.

DFT formation energy in meV per atom: 197
Energy above the most stable polymorph in this dataset in meV/atom: 812
Symmetry: P4/mmm (123)

abc: 3.8355 4.3604 4.3604
angles: 90.00 90.00 90.00
Fractional coordinates of all 4 atoms:
Fe 0.5000 0.0000 0.0000
P 0.0000 0.0000 0.5000
P 0.0000 0.5000 0.0000
Sr 0.5000 0.5000 0.5000

## SrFe2P2 (PBEsol)

Data for a relaxed SrFe2P2 crystal.

DFT formation energy in meV per atom: -901
Symmetry: I4/mmm (139)

abc: 3.7756 3.7756 6.1415
angles: 107.90 107.90 90.00
Fractional coordinates of all 5 atoms:
Sr 0.0000 0.0000 0.0000
Fe 0.2500 0.7500 0.5000
Fe 0.7500 0.2500 0.5000
P 0.3471 0.3471 0.6942
P 0.6529 0.6529 0.3058

## SrFe2P (PBEsol)

Data for a relaxed SrFe2P crystal.

DFT formation energy in meV per atom: 213
Symmetry: Imm2 (44)

abc: 3.8830 4.8824 4.8824
angles: 69.72 66.57 66.57
Fractional coordinates of all 4 atoms:
Fe 0.9179 0.0821 0.0821
Fe 0.2305 0.2695 0.2695
P 0.5873 0.4127 0.4127
Sr 0.7644 0.7356 0.7356

## TaFe2P (PBEsol)

Data for a relaxed TaFe2P crystal.

DFT formation energy in meV per atom: -33
Symmetry: C2/m (12)

abc: 2.7671 4.4695 4.8087
angles: 115.79 103.87 95.93
Fractional coordinates of all 4 atoms:
Fe 0.5000 0.5000 0.5000
Fe 0.0000 0.0000 0.5000
P 0.0000 0.5000 0.0000
Ta 0.5000 0.0000 0.0000

## Ta2FeP (PBEsol)

Data for a relaxed Ta2FeP crystal.

DFT formation energy in meV per atom: -222
Symmetry: P4/mmm (123)

abc: 3.2252 4.2084 4.2084
angles: 90.00 90.00 90.00
Fractional coordinates of all 4 atoms:
Fe 0.5000 0.5000 0.5000
P 0.5000 0.0000 0.0000
Ta 0.0000 0.0000 0.5000
Ta 0.0000 0.5000 0.0000

## Ta2FeP (PBEsol)

Data for a relaxed Ta2FeP crystal.

DFT formation energy in meV per atom: -282
Symmetry: Cmmm (65)

abc: 3.0704 4.3592 4.3592
angles: 103.32 90.00 90.00
Fractional coordinates of all 4 atoms:
Fe 0.5000 0.0000 0.0000
P 0.5000 0.5000 0.5000
Ta 0.0000 0.5000 0.0000
Ta 0.0000 0.0000 0.5000

## TaFe2P (PBEsol)

Data for a relaxed TaFe2P crystal.

DFT formation energy in meV per atom: -338
Symmetry: Cm (8)

abc: 3.1492 4.3557 4.4822
angles: 115.35 90.00 111.19
Fractional coordinates of all 4 atoms:
Fe 0.0051 0.0101 0.0320
Fe 0.7905 0.5811 0.3451
P 0.4886 0.9773 0.3583
Ta 0.2158 0.4315 0.7647

## Tb2Fe12P7 (PBEsol)

Data for a relaxed Tb2Fe12P7 crystal.

DFT formation energy in meV per atom: -824
Symmetry: P-6 (174)

abc: 3.5951 8.8263 8.8263
angles: 120.00 90.00 90.00
Fractional coordinates of all 21 atoms:
Tb 0.0000 0.3333 0.6667
Tb 0.5000 0.6667 0.3333
Fe 0.0000 0.6308 0.5747
Fe 0.0000 0.9439 0.3692
Fe 0.0000 0.4253 0.0561
Fe 0.0000 0.1198 0.8465
Fe 0.0000 0.7267 0.8802
Fe 0.0000 0.1535 0.2733
Fe 0.5000 0.0490 0.6169
Fe 0.5000 0.5679 0.9510
Fe 0.5000 0.3831 0.4321
Fe 0.5000 0.8844 0.7884
Fe 0.5000 0.9040 0.1156
Fe 0.5000 0.2116 0.0960
P 0.0000 0.8886 0.5902
P 0.0000 0.7016 0.1114
P 0.0000 0.4098 0.2984
P 0.5000 0.2897 0.8904
P 0.5000 0.6007 0.7103
P 0.5000 0.1096 0.3993
P 0.0000 0.0000 0.0000

## TbFe4P12 (PBEsol)

Data for a relaxed TbFe4P12 crystal.

DFT formation energy in meV per atom: -709
Symmetry: Im-3 (204)

abc: 6.6644 6.6644 6.6644
angles: 109.47 109.47 109.47
Fractional coordinates of all 17 atoms:
Tb 0.0000 0.0000 0.0000
Fe 0.5000 0.5000 0.5000
Fe 0.5000 0.0000 0.0000
Fe 0.0000 0.0000 0.5000
Fe 0.0000 0.5000 0.0000
P 0.8479 0.4963 0.6484
P 0.8479 0.1996 0.3516
P 0.1521 0.8004 0.6484
P 0.6484 0.1521 0.8004
P 0.1996 0.3516 0.8479
P 0.1521 0.5037 0.3516
P 0.3516 0.1521 0.5037
P 0.5037 0.3516 0.1521
P 0.3516 0.8479 0.1996
P 0.4963 0.6484 0.8479
P 0.6484 0.8479 0.4963
P 0.8004 0.6484 0.1521

## TbFe5P3 (PBEsol)

Data for a relaxed TbFe5P3 crystal.

DFT formation energy in meV per atom: -844
Symmetry: Pnma (62)

abc: 3.6106 10.1354 11.6390
angles: 90.00 90.00 90.00
Fractional coordinates of all 36 atoms:
Tb 0.2500 0.5807 0.7038
Tb 0.2500 0.9193 0.2038
Tb 0.7500 0.4193 0.2962
Tb 0.7500 0.0807 0.7962
Fe 0.2500 0.7051 0.9892
Fe 0.2500 0.7949 0.4892
Fe 0.7500 0.2949 0.0108
Fe 0.7500 0.2051 0.5108
Fe 0.2500 0.4044 0.4902
Fe 0.2500 0.0956 0.9902
Fe 0.7500 0.5956 0.5098
Fe 0.7500 0.9044 0.0098
Fe 0.2500 0.2197 0.1748
Fe 0.2500 0.2803 0.6748
Fe 0.7500 0.7803 0.8252
Fe 0.7500 0.7197 0.3252
Fe 0.2500 0.8773 0.7008
Fe 0.2500 0.6227 0.2008
Fe 0.7500 0.1227 0.2992
Fe 0.7500 0.3773 0.7992
Fe 0.2500 0.4643 0.9335
Fe 0.2500 0.0357 0.4335
Fe 0.7500 0.5357 0.0665
Fe 0.7500 0.9643 0.5665
P 0.2500 0.4212 0.1128
P 0.2500 0.0788 0.6128
P 0.7500 0.5788 0.8872
P 0.7500 0.9212 0.3872
P 0.2500 0.2678 0.8701
P 0.2500 0.2322 0.3701
P 0.7500 0.7322 0.1299
P 0.7500 0.7678 0.6299
P 0.2500 0.6035 0.3962
P 0.2500 0.8965 0.8962
P 0.7500 0.3965 0.6038
P 0.7500 0.1035 0.1038

## FeTc2P2 (PBEsol)

Data for a relaxed FeTc2P2 crystal.

DFT formation energy in meV per atom: 19
Symmetry: I4/mmm (139)

abc: 3.3616 3.3616 6.4544
angles: 105.09 105.09 90.00
Fractional coordinates of all 5 atoms:
P 0.2500 0.7500 0.5000
P 0.7500 0.2500 0.5000
Tc 0.3875 0.3875 0.7751
Tc 0.6125 0.6125 0.2249
Fe 0.0000 0.0000 0.0000

## FeTc2P (PBEsol)

Data for a relaxed FeTc2P crystal.

DFT formation energy in meV per atom: -53
Symmetry: I-4m2 (119)

abc: 3.5849 3.5849 4.5995
angles: 112.94 112.94 90.00
Fractional coordinates of all 4 atoms:
Fe 0.5000 0.5000 0.0000
P 0.2500 0.7500 0.5000
Tc 0.0000 0.0000 0.0000
Tc 0.7500 0.2500 0.5000

## Fe2Tc2P (PBEsol)

Data for a relaxed Fe2Tc2P crystal.

DFT formation energy in meV per atom: 617
Symmetry: I4/mmm (139)

abc: 3.6508 3.6508 5.7448
angles: 108.53 108.53 90.00
Fractional coordinates of all 5 atoms:
Fe 0.6008 0.6008 0.2017
Fe 0.3992 0.3992 0.7983
P 0.0000 0.0000 0.0000
Tc 0.2500 0.7500 0.5000
Tc 0.7500 0.2500 0.5000

## FeTc2P (PBEsol)

Data for a relaxed FeTc2P crystal.

DFT formation energy in meV per atom: -15
Symmetry: R-3m (166)

abc: 2.7362 2.7362 7.9682
angles: 80.11 80.11 60.00
Fractional coordinates of all 4 atoms:
Fe 0.5000 0.5000 0.5000
P 0.0000 0.0000 0.0000
Tc 0.2531 0.2531 0.2408
Tc 0.7469 0.7469 0.7592

## FeTc2P (PBEsol)

Data for a relaxed FeTc2P crystal.

DFT formation energy in meV per atom: -336
Symmetry: Imm2 (44)

abc: 2.8175 4.1337 4.8350
angles: 115.31 106.94 90.00
Fractional coordinates of all 4 atoms:
P 0.2380 0.7380 0.4761
Tc 0.9749 0.9749 0.9498
Tc 0.7543 0.2543 0.5085
Fe 0.5328 0.5328 0.0655

## FeTe2P (PBEsol)

Data for a relaxed FeTe2P crystal.

E_form (uncorrected) in eV/f.u.: 1.07
Symmetry: P4/mmm (123)

abc: 3.8644 3.8644 5.4163
angles: 90.00 90.00 90.00
Fractional coordinates of all 4 atoms:
Fe 0.5000 0.5000 0.0000
P 0.0000 0.0000 0.5000
Te 0.0000 0.0000 0.0000
Te 0.5000 0.5000 0.5000

## Fe2TeP2 (PBEsol)

Data for a relaxed Fe2TeP2 crystal.

E_form (uncorrected) in eV/f.u.: -1.02
Symmetry: I4/mmm (139)

abc: 3.4926 3.4926 6.3246
angles: 106.03 106.03 90.00
Fractional coordinates of all 5 atoms:
P 0.2500 0.7500 0.5000
P 0.7500 0.2500 0.5000
Te 0.0000 0.0000 0.0000
Fe 0.3633 0.3633 0.7266
Fe 0.6367 0.6367 0.2734

## FeTe2P (PBEsol)

Data for a relaxed FeTe2P crystal.

E_form (uncorrected) in eV/f.u.: 2.46
Symmetry: P4/mmm (123)

abc: 3.2489 4.8396 4.8396
angles: 90.00 90.00 90.00
Fractional coordinates of all 4 atoms:
Fe 0.5000 0.5000 0.5000
P 0.5000 0.0000 0.0000
Te 0.0000 0.0000 0.5000
Te 0.0000 0.5000 0.0000

## FeTe2P (PBEsol)

Data for a relaxed FeTe2P crystal.

E_form (uncorrected) in eV/f.u.: 1.68
Symmetry: R-3m (166)

abc: 3.5925 3.5925 8.4121
angles: 77.67 77.67 60.00
Fractional coordinates of all 4 atoms:
P 0.0000 0.0000 0.0000
Te 0.8904 0.8904 0.3289
Te 0.1096 0.1096 0.6711
Fe 0.5000 0.5000 0.5000

## Ti3Fe5P4 (PBEsol)

Data for a relaxed Ti3Fe5P4 crystal.

DFT formation energy in meV per atom: -1026
Symmetry: Pm (6)

abc: 3.5400 5.8556 6.6293
angles: 90.83 90.00 90.00
Fractional coordinates of all 12 atoms:
Ti 0.0000 0.0179 0.3164
Ti 0.5000 0.4776 0.8279
Ti 0.5000 0.9725 0.6777
Fe 0.0000 0.6440 0.5582
Fe 0.0000 0.1508 0.9418
Fe 0.5000 0.3554 0.4382
Fe 0.5000 0.8550 0.0621
Fe 0.0000 0.5336 0.1754
P 0.0000 0.2712 0.6218
P 0.0000 0.7728 0.8879
P 0.5000 0.7139 0.3661
P 0.5000 0.2354 0.1263

So what do the calculations give for DOS at the Fermi energy? Going down the list: 1.128; 0.515; 1.398; 1.125; 0.442; 1.059; 0.473; 0.735; 0.801; 0.723; 0.709; 0.812; 1.018; 0.391; 0.871; 0.806; 1.244; 0.960; 1.000; 0.774; 1.221; 0.332; 1.253; 1.116; 0.598 states/eV per atom.